No. 1
The following is a DFT calculation (GGA-PBE) of a geometry-optimized Tb2Tm8Al structure.

Calculated values
E = -49.2 eV per cell
SG = C2/m
M_tot = 0.001 Bohr magnetons per cell

abc: 9.8520 9.8520 6.3156
angles: 94.22 94.22 31.80
Positions (direct):
Tb (0.2424, 0.2424, 0.3326)
Tb (0.7576, 0.7576, 0.6674)
Tm (0.0433, 0.0433, 0.2554)
Tm (0.1536, 0.1536, 0.8112)
Tm (0.3424, 0.3424, 0.8767)
Tm (0.4223, 0.4223, 0.3979)
Tm (0.5777, 0.5777, 0.6021)
Tm (0.6576, 0.6576, 0.1233)
Tm (0.8464, 0.8464, 0.1888)
Tm (0.9567, 0.9567, 0.7446)
Al (0.5000, 0.5000, 0.0000)

=====

No. 2
The following is a DFT calculation (GGA-PBE) of a geometry-optimized Tb4Tm9Al11 structure.

Calculated values
E = -107.7 eV per cell
SG = Cmmm
M_tot = 0.000 Bohr magnetons per cell

abc: 13.5034 13.5034 3.3154
angles: 90.00 90.00 111.41
Positions (direct):
Tb (0.0961, 0.2604, 0.0000)
Tb (0.2604, 0.0961, 0.0000)
Tb (0.7396, 0.9039, 0.0000)
Tb (0.9039, 0.7396, 0.0000)
Tm (0.0000, 0.0000, 0.0000)
Tm (0.1113, 0.6655, 0.0000)
Tm (0.2956, 0.4916, 0.0000)
Tm (0.3345, 0.8887, 0.0000)
Tm (0.4916, 0.2956, 0.0000)
Tm (0.5084, 0.7044, 0.0000)
Tm (0.6655, 0.1113, 0.0000)
Tm (0.7044, 0.5084, 0.0000)
Tm (0.8887, 0.3345, 0.0000)
Al (0.0885, 0.4637, 0.5000)
Al (0.1206, 0.8794, 0.5000)
Al (0.3060, 0.3060, 0.5000)
Al (0.3104, 0.6896, 0.5000)
Al (0.4637, 0.0885, 0.5000)
Al (0.5000, 0.5000, 0.5000)
Al (0.5363, 0.9115, 0.5000)
Al (0.6896, 0.3104, 0.5000)
Al (0.6940, 0.6940, 0.5000)
Al (0.8794, 0.1206, 0.5000)
Al (0.9115, 0.5363, 0.5000)

=====

No. 3
The following is a DFT calculation (GGA-PBE) of a geometry-optimized Tb12TmAl3 structure.

Calculated values
E = -73.3 eV per cell
SG = P4/mmm
M_tot = 0.001 Bohr magnetons per cell

abc: 4.8104 4.8104 19.5480
angles: 90.00 90.00 90.00
Positions (direct):
Tb (0.0000, 0.0000, 0.0000)
Tb (0.0000, 0.0000, 0.2441)
Tb (0.0000, 0.0000, 0.5000)
Tb (0.0000, 0.0000, 0.7559)
Tb (0.0000, 0.5000, 0.1224)
Tb (0.0000, 0.5000, 0.3669)
Tb (0.0000, 0.5000, 0.6331)
Tb (0.0000, 0.5000, 0.8776)
Tb (0.5000, 0.0000, 0.1224)
Tb (0.5000, 0.0000, 0.3669)
Tb (0.5000, 0.0000, 0.6331)
Tb (0.5000, 0.0000, 0.8776)
Tm (0.5000, 0.5000, 0.5000)
Al (0.5000, 0.5000, 0.0000)
Al (0.5000, 0.5000, 0.2426)
Al (0.5000, 0.5000, 0.7574)

=====

No. 4
The following is a DFT calculation (GGA-PBE) of a geometry-optimized TbTm3Al2 structure.

Calculated values
SG = Pmc2_1
M_tot = 0.000 Bohr magnetons per cell
polymorph energy (0 for the lowest one) = 0.000 eV/atom

abc: 5.0449 9.3822 6.5003
angles: 90.00 90.00 90.00
Positions (direct):
Tb (0.0000, 0.0404, 0.0000)
Tb (0.0000, 0.9596, 0.5000)
Tm (0.0000, 0.3233, 0.6517)
Tm (0.0000, 0.6767, 0.1517)
Tm (0.5000, 0.1817, 0.2861)
Tm (0.5000, 0.4579, 0.9386)
Tm (0.5000, 0.5421, 0.4386)
Tm (0.5000, 0.8183, 0.7861)
Al (0.0000, 0.3553, 0.1760)
Al (0.0000, 0.6447, 0.6760)
Al (0.5000, 0.1460, 0.7603)
Al (0.5000, 0.8540, 0.2603)

=====

No. 5
The following is a DFT calculation (GGA-PBE) of a geometry-optimized Tb3Tm4Al4 structure.

Calculated values
E = -48.8 eV per cell
SG = Immm
M_tot = 0.000 Bohr magnetons per cell

abc: 9.4019 9.4019 9.4019
angles: 148.53 137.98 53.43
Positions (direct):
Tb (0.0000, 0.0000, 0.0000)
Tb (0.3983, 0.8983, 0.5000)
Tb (0.6017, 0.1017, 0.5000)
Tm (0.0546, 0.3200, 0.7346)
Tm (0.4146, 0.6800, 0.7346)
Tm (0.5854, 0.3200, 0.2654)
Tm (0.9454, 0.6800, 0.2654)
Al (0.1758, 0.1758, 0.0000)
Al (0.2977, 0.5000, 0.7977)
Al (0.7023, 0.5000, 0.2023)
Al (0.8242, 0.8242, 0.0000)

=====

No. 6
The following is a DFT calculation (GGA-PBE) of a geometry-optimized TbTm8Al2 structure.

Calculated values
SG = C2/m
M_tot = 0.000 Bohr magnetons per cell
polymorph energy (0 for the lowest one) = 0.127 eV/atom

abc: 8.4342 8.4342 5.4770
angles: 101.47 101.47 117.96
Positions (direct):
Tb (0.0000, 0.0000, 0.0000)
Tm (0.0889, 0.3263, 0.6131)
Tm (0.2233, 0.7767, 0.0000)
Tm (0.3263, 0.0889, 0.6131)
Tm (0.4035, 0.4035, 0.2036)
Tm (0.5965, 0.5965, 0.7964)
Tm (0.6737, 0.9111, 0.3869)
Tm (0.7767, 0.2233, 0.0000)
Tm (0.9111, 0.6737, 0.3869)
Al (0.3080, 0.6920, 0.5000)
Al (0.6920, 0.3080, 0.5000)

=====

No. 7
The following is a DFT calculation (GGA-PBE) of a geometry-optimized TbTm2Al structure.

Calculated values
SG = Fm-3m
M_tot = 0.634 Bohr magnetons per cell
polymorph energy (0 for the lowest one) = 0.177 eV/atom

abc: 5.3051 5.3051 5.3051
angles: 60.00 60.00 60.00
Positions (direct):
Tb (0.0000, 0.0000, 0.0000)
Tm (0.2500, 0.2500, 0.2500)
Tm (0.7500, 0.7500, 0.7500)
Al (0.5000, 0.5000, 0.5000)

=====

No. 8
The following is a DFT calculation (GGA-PBE) of a geometry-optimized Tb2Tm3Al2 structure.

Calculated values
SG = R-3m
M_tot = 0.000 Bohr magnetons per cell
polymorph energy (0 for the lowest one) = 0.017 eV/atom

abc: 8.3209 8.3209 8.3209
angles: 36.68 36.68 36.68
Positions (direct):
Tb (0.0826, 0.0826, 0.0826)
Tb (0.9174, 0.9174, 0.9174)
Tm (0.3479, 0.3479, 0.3479)
Tm (0.5000, 0.5000, 0.5000)
Tm (0.6521, 0.6521, 0.6521)
Al (0.2184, 0.2184, 0.2184)
Al (0.7816, 0.7816, 0.7816)

=====

No. 9
The following is a DFT calculation (GGA-PBE) of a geometry-optimized TbTmAl6 structure.

Calculated values
SG = P-6m2
M_tot = 0.000 Bohr magnetons per cell
polymorph energy (0 for the lowest one) = 0.000 eV/atom

abc: 6.1570 6.1570 4.7290
angles: 90.00 90.00 120.00
Positions (direct):
Tb (0.0000, 0.0000, 0.0000)
Tm (0.6667, 0.3333, 0.5000)
Al (0.0338, 0.5169, 0.0000)
Al (0.1850, 0.3699, 0.5000)
Al (0.1850, 0.8150, 0.5000)
Al (0.4831, 0.5169, 0.0000)
Al (0.4831, 0.9662, 0.0000)
Al (0.6301, 0.8150, 0.5000)

=====

No. 10
The following is a DFT calculation (GGA-PBE) of a geometry-optimized Tb6TmAl structure.

Calculated values
SG = P4/mmm
M_tot = 0.000 Bohr magnetons per cell
polymorph energy (0 for the lowest one) = 0.000 eV/atom

abc: 4.8626 4.8626 9.9256
angles: 90.00 90.00 90.00
Positions (direct):
Tb (0.0000, 0.0000, 0.0000)
Tb (0.0000, 0.0000, 0.5000)
Tb (0.0000, 0.5000, 0.2400)
Tb (0.0000, 0.5000, 0.7600)
Tb (0.5000, 0.0000, 0.2400)
Tb (0.5000, 0.0000, 0.7600)
Tm (0.5000, 0.5000, 0.5000)
Al (0.5000, 0.5000, 0.0000)

=====

No. 11
The following is a DFT calculation (GGA-PBE) of a geometry-optimized TbTm3Al2 structure.

Calculated values
SG = C2/m
M_tot = 0.013 Bohr magnetons per cell
polymorph energy (0 for the lowest one) = 0.102 eV/atom

abc: 8.2302 8.2302 8.9017
angles: 118.27 118.27 36.42
Positions (direct):
Tb (0.1313, 0.1313, 0.1780)
Tb (0.8687, 0.8687, 0.8220)
Tm (0.0601, 0.0601, 0.7160)
Tm (0.3131, 0.3131, 0.0097)
Tm (0.3828, 0.3828, 0.4646)
Tm (0.6172, 0.6172, 0.5354)
Tm (0.6869, 0.6869, 0.9903)
Tm (0.9399, 0.9399, 0.2840)
Al (0.2336, 0.2336, 0.6005)
Al (0.4747, 0.4747, 0.8392)
Al (0.5253, 0.5253, 0.1608)
Al (0.7664, 0.7664, 0.3995)

=====

No. 12
The following is a DFT calculation (GGA-PBE) of a geometry-optimized Tb2TmAl9 structure.

Calculated values
SG = R-3m
M_tot = 0.000 Bohr magnetons per cell
polymorph energy (0 for the lowest one) = 0.070 eV/atom

abc: 9.3222 9.3222 9.3222
angles: 34.76 34.76 34.76
Positions (direct):
Tb (0.1422, 0.1422, 0.1422)
Tb (0.8578, 0.8578, 0.8578)
Tm (0.0000, 0.0000, 0.0000)
Al (0.0758, 0.5871, 0.5871)
Al (0.3353, 0.3353, 0.3353)
Al (0.4129, 0.4129, 0.9242)
Al (0.4129, 0.9242, 0.4129)
Al (0.5000, 0.5000, 0.5000)
Al (0.5871, 0.0757, 0.5871)
Al (0.5871, 0.5871, 0.0757)
Al (0.6647, 0.6647, 0.6647)
Al (0.9243, 0.4129, 0.4129)

=====

No. 13
The following is a DFT calculation (GGA-PBE) of a geometry-optimized TbTm2Al structure.

Calculated values
SG = P4/mmm
M_tot = 0.000 Bohr magnetons per cell
polymorph energy (0 for the lowest one) = 0.006 eV/atom

abc: 4.7149 4.7149 4.7321
angles: 90.00 90.00 90.00
Positions (direct):
Tb (0.0000, 0.0000, 0.0000)
Tm (0.0000, 0.5000, 0.5000)
Tm (0.5000, 0.0000, 0.5000)
Al (0.5000, 0.5000, 0.0000)

=====

No. 14
The following is a DFT calculation (GGA-PBE) of a geometry-optimized Tb4Tm3Al4 structure.

Calculated values
E = -48.7 eV per cell
SG = Immm
M_tot = 0.000 Bohr magnetons per cell

abc: 9.5161 9.5161 9.5161
angles: 148.81 139.15 52.27
Positions (direct):
Tb (0.0580, 0.8201, 0.2379)
Tb (0.4178, 0.1799, 0.2379)
Tb (0.5822, 0.8201, 0.7621)
Tb (0.9420, 0.1799, 0.7621)
Tm (0.0000, 0.5000, 0.5000)
Tm (0.4032, 0.4032, 0.0000)
Tm (0.5968, 0.5968, 0.0000)
Al (0.1698, 0.6698, 0.5000)
Al (0.2935, 0.0000, 0.2935)
Al (0.7065, 0.0000, 0.7065)
Al (0.8302, 0.3302, 0.5000)

=====

No. 15
The following is a DFT calculation (GGA-PBE) of a geometry-optimized Tb2TmAl9 structure.

Calculated values
SG = P4/mmm
M_tot = 0.000 Bohr magnetons per cell
polymorph energy (0 for the lowest one) = 0.000 eV/atom

abc: 4.2562 4.2562 12.7662
angles: 90.00 90.00 90.00
Positions (direct):
Tb (0.0000, 0.0000, 0.1677)
Tb (0.0000, 0.0000, 0.8323)
Tm (0.0000, 0.0000, 0.5000)
Al (0.0000, 0.5000, 0.0000)
Al (0.0000, 0.5000, 0.3355)
Al (0.0000, 0.5000, 0.6645)
Al (0.5000, 0.0000, 0.0000)
Al (0.5000, 0.0000, 0.3355)
Al (0.5000, 0.0000, 0.6645)
Al (0.5000, 0.5000, 0.1671)
Al (0.5000, 0.5000, 0.5000)
Al (0.5000, 0.5000, 0.8329)

=====

No. 16
The following is a DFT calculation (GGA-PBE) of a geometry-optimized Tb9Tm4Al11 structure.

Calculated values
E = -108.4 eV per cell
SG = Cmmm
M_tot = 0.002 Bohr magnetons per cell

abc: 13.5152 13.5152 3.3739
angles: 90.00 90.00 110.65
Positions (direct):
Tb (0.0000, 0.0000, 0.0000)
Tb (0.1142, 0.6608, 0.0000)
Tb (0.2961, 0.4842, 0.0000)
Tb (0.3392, 0.8858, 0.0000)
Tb (0.4842, 0.2961, 0.0000)
Tb (0.5158, 0.7039, 0.0000)
Tb (0.6608, 0.1142, 0.0000)
Tb (0.7039, 0.5158, 0.0000)
Tb (0.8858, 0.3392, 0.0000)
Tm (0.0899, 0.2570, 0.0000)
Tm (0.2570, 0.0899, 0.0000)
Tm (0.7430, 0.9101, 0.0000)
Tm (0.9101, 0.7430, 0.0000)
Al (0.0871, 0.4564, 0.5000)
Al (0.1217, 0.8783, 0.5000)
Al (0.2917, 0.2917, 0.5000)
Al (0.3145, 0.6855, 0.5000)
Al (0.4564, 0.0871, 0.5000)
Al (0.5000, 0.5000, 0.5000)
Al (0.5436, 0.9129, 0.5000)
Al (0.6855, 0.3145, 0.5000)
Al (0.7083, 0.7083, 0.5000)
Al (0.8783, 0.1217, 0.5000)
Al (0.9129, 0.5436, 0.5000)

=====

No. 17
The following is a DFT calculation (GGA-PBE) of a geometry-optimized Tb4TmAl4 structure.

Calculated values
E = -78.9 eV per cell
SG = P4_2/n
M_tot = 0.000 Bohr magnetons per cell

abc: 8.7866 8.7866 5.8372
angles: 90.00 90.00 90.00
Positions (direct):
Tb (0.0819, 0.8238, 0.1301)
Tb (0.1762, 0.5819, 0.6301)
Tb (0.3238, 0.9181, 0.6301)
Tb (0.4181, 0.6762, 0.1301)
Tb (0.5819, 0.3238, 0.8699)
Tb (0.6762, 0.0819, 0.3699)
Tb (0.8238, 0.4181, 0.3699)
Tb (0.9181, 0.1762, 0.8699)
Tm (0.2500, 0.2500, 0.7500)
Tm (0.7500, 0.7500, 0.2500)
Al (0.0573, 0.1556, 0.3532)
Al (0.1556, 0.4427, 0.1468)
Al (0.3444, 0.0573, 0.1468)
Al (0.4427, 0.3444, 0.3532)
Al (0.5573, 0.6556, 0.6468)
Al (0.6556, 0.9427, 0.8532)
Al (0.8444, 0.5573, 0.8532)
Al (0.9427, 0.8444, 0.6468)

=====

No. 18
The following is a DFT calculation (GGA-PBE) of a geometry-optimized Tb4Tm4Al structure.

Calculated values
E = -40.4 eV per cell
SG = I4/mmm
M_tot = 0.000 Bohr magnetons per cell

abc: 7.7675 7.7675 7.7675
angles: 95.50 95.50 143.93
Positions (direct):
Tb (0.1593, 0.1593, 0.3186)
Tb (0.1593, 0.8407, 0.0000)
Tb (0.8407, 0.1593, 0.0000)
Tb (0.8407, 0.8407, 0.6814)
Tm (0.1670, 0.5000, 0.6670)
Tm (0.5000, 0.1670, 0.6670)
Tm (0.5000, 0.8330, 0.3330)
Tm (0.8330, 0.5000, 0.3330)
Al (0.5000, 0.5000, 0.0000)

=====

No. 19
The following is a DFT calculation (GGA-PBE) of a geometry-optimized Tb15Tm4Al structure.

Calculated values
E = -91.4 eV per cell
SG = P4/mmm
M_tot = 0.000 Bohr magnetons per cell

abc: 4.9465 4.9465 25.0029
angles: 90.00 90.00 90.00
Positions (direct):
Tb (0.0000, 0.0000, 0.0000)
Tb (0.0000, 0.0000, 0.1946)
Tb (0.0000, 0.0000, 0.3980)
Tb (0.0000, 0.0000, 0.6020)
Tb (0.0000, 0.0000, 0.8054)
Tb (0.0000, 0.5000, 0.0942)
Tb (0.0000, 0.5000, 0.2970)
Tb (0.0000, 0.5000, 0.5000)
Tb (0.0000, 0.5000, 0.7030)
Tb (0.0000, 0.5000, 0.9058)
Tb (0.5000, 0.0000, 0.0942)
Tb (0.5000, 0.0000, 0.2970)
Tb (0.5000, 0.0000, 0.5000)
Tb (0.5000, 0.0000, 0.7030)
Tb (0.5000, 0.0000, 0.9058)
Tm (0.5000, 0.5000, 0.1962)
Tm (0.5000, 0.5000, 0.3988)
Tm (0.5000, 0.5000, 0.6012)
Tm (0.5000, 0.5000, 0.8038)
Al (0.5000, 0.5000, 0.0000)

=====

No. 20
The following is a DFT calculation (GGA-PBE) of a geometry-optimized Tb3TmAl structure.

Calculated values
SG = P2_1/c
M_tot = 0.000 Bohr magnetons per cell
polymorph energy (0 for the lowest one) = 0.112 eV/atom

abc: 8.1982 6.7488 13.5195
angles: 90.00 127.11 90.00
Positions (direct):
Tb (0.0109, 0.1115, 0.3836)
Tb (0.0109, 0.3885, 0.8836)
Tb (0.3880, 0.6815, 0.6123)
Tb (0.3880, 0.8185, 0.1123)
Tb (0.4353, 0.6675, 0.8844)
Tb (0.4353, 0.8325, 0.3844)
Tb (0.5647, 0.1675, 0.6156)
Tb (0.5647, 0.3325, 0.1156)
Tb (0.6120, 0.1815, 0.8877)
Tb (0.6120, 0.3185, 0.3877)
Tb (0.9891, 0.6115, 0.1164)
Tb (0.9891, 0.8885, 0.6164)
Tm (0.1050, 0.1367, 0.1459)
Tm (0.1050, 0.3633, 0.6459)
Tm (0.8950, 0.6367, 0.3541)
Tm (0.8950, 0.8633, 0.8541)
Al (0.2537, 0.0691, 0.8813)
Al (0.2537, 0.4309, 0.3813)
Al (0.7463, 0.5691, 0.6187)
Al (0.7463, 0.9309, 0.1187)